(a)
Here is crystalline FeN2O2 at its relaxed geometry from the Alexandria database. Energies are from PBE+U.

Summary:
D(E_F) (states/eV/atom): 0.913
Crystal system: tetragonal

Cell: 3.6613 3.6613 3.5904 Å, 90.00 90.00 90.00°
Space group P4/mmm (No. 123)
Inequivalent atoms, fractional coordinates:
Fe 0.0000 0.0000 0.0000 (multiplicity 1)
N 0.0000 0.5000 0.0000 (multiplicity 2)
O 0.0000 0.0000 0.5000 (multiplicity 1)
O 0.5000 0.5000 0.5000 (multiplicity 1)

(b)
Here is crystalline FeN2O2 at its relaxed geometry from the Alexandria database. Energies are from PBE+U.

Summary:
D(E_F) (states/eV/atom): 0.668
Crystal system: tetragonal

Cell: 3.6807 3.6807 4.2693 Å, 90.00 90.00 90.00°
Space group P4/mmm (No. 123)
Inequivalent atoms, fractional coordinates:
Fe 0.0000 0.0000 0.0000 (multiplicity 1)
N 0.0000 0.0000 0.5000 (multiplicity 1)
N 0.5000 0.5000 0.5000 (multiplicity 1)
O 0.0000 0.5000 0.0000 (multiplicity 2)

Most favorable structure: (b). The second most favorable one is 458 meV/atom above it.

(a)
Here is crystalline FeS2NO8 at its relaxed geometry from the Alexandria database. Energies are from PBE+U.

Summary:
D(E_F) (states/eV/atom): 0.692
Crystal system: hexagonal

Cell: 4.9477 4.9477 16.3504 Å, 90.00 90.00 120.00°
Space group P6_3 (No. 173)
Inequivalent atoms, fractional coordinates:
Fe 0.3333 0.6667 0.0000 (multiplicity 2)
S 0.0000 0.0000 0.3961 (multiplicity 2)
S 0.3333 0.6667 0.6035 (multiplicity 2)
N 0.3333 0.6667 0.2560 (multiplicity 2)
O 0.0000 0.0000 0.3067 (multiplicity 2)
O 0.0275 0.6161 0.5721 (multiplicity 6)
O 0.0518 0.7455 0.9271 (multiplicity 6)
O 0.3333 0.6667 0.6927 (multiplicity 2)

(b)
Here is crystalline FeS2NO8 at its relaxed geometry from the Alexandria database. Energies are from PBE+U.

Summary:
D(E_F) (states/eV/atom): 0.689
Crystal system: trigonal

Cell: 5.1982 5.1982 8.2240 Å, 90.00 90.00 120.00°
Space group P321 (No. 150)
Inequivalent atoms, fractional coordinates:
Fe 0.0000 0.0000 0.0000 (multiplicity 1)
S 0.3333 0.6667 0.2061 (multiplicity 2)
N 0.0000 0.0000 0.5000 (multiplicity 1)
O 0.1754 0.3561 0.1446 (multiplicity 6)
O 0.3333 0.6667 0.3832 (multiplicity 2)

Most favorable structure: (a). The second most favorable one is 20 meV/atom above it.